Record 1
CdPbW4C2 | PBE | relaxed

Summary:
VASP energy (eV per atom): -8.964
ρ (g/cm³): 14.7
Space-group type: No. 187

Cell lengths 3.1458, 3.1458, 14.2482 Å; angles 90.00, 90.00, 120.00 degrees
Atoms (fractional coordinates):
C  0.6667  0.3333  0.7481
C  0.6667  0.3333  0.2519
Pb  0.3333  0.6667  0.0000
W  0.3333  0.6667  0.3310
W  0.0000  0.0000  0.1735
W  0.0000  0.0000  0.8265
W  0.3333  0.6667  0.6690
Cd  0.0000  0.0000  0.5000


Record 2
Y4CdPbC2 | PBE | relaxed

Summary:
VASP energy (eV per atom): -6.514
ρ (g/cm³): 6.3
Space-group type: No. 187

Cell lengths 3.6303, 3.6303, 16.1456 Å; angles 90.00, 90.00, 120.00 degrees
Site moments in Bohr magnetons follow the coordinates.
Atoms (fractional coordinates):
Pb  0.6667  0.3333  0.5000  0.00
Y  0.6667  0.3333  0.8333  0.14
Y  0.6667  0.3333  0.1667  0.14
Y  0.0000  0.0000  0.3330  0.05
Y  0.0000  0.0000  0.6670  0.05
C  0.3333  0.6667  0.7504  -0.01
C  0.3333  0.6667  0.2496  -0.01
Cd  0.0000  0.0000  0.0000  0.05


Record 3
Zr4CdPbC2 | PBE | relaxed

Summary:
VASP energy (eV per atom): -7.759
ρ (g/cm³): 7.9
Space-group type: No. 187

Cell lengths 3.3783, 3.3783, 15.1252 Å; angles 90.00, 90.00, 120.00 degrees
Atoms (fractional coordinates):
C  0.3333  0.6667  0.2502
C  0.3333  0.6667  0.7498
Zr  0.6667  0.3333  0.8314
Zr  0.6667  0.3333  0.1686
Zr  0.0000  0.0000  0.3323
Zr  0.0000  0.0000  0.6677
Pb  0.6667  0.3333  0.5000
Cd  0.0000  0.0000  0.0000


Record 4
Cd4SnC2S | PBE | relaxed

Summary:
VASP energy (eV per atom): -2.871
ρ (g/cm³): 6.8
Space-group type: No. 187

Cell lengths 3.6410, 3.6410, 13.3557 Å; angles 90.00, 90.00, 120.00 degrees
Atoms (fractional coordinates):
Cd  0.0000  0.0000  0.3120
Cd  0.0000  0.0000  0.6880
Cd  0.3333  0.6667  0.8708
Cd  0.3333  0.6667  0.1292
Sn  0.3333  0.6667  0.5000
S  0.0000  0.0000  0.0000
C  0.6667  0.3333  0.7638
C  0.6667  0.3333  0.2362


Record 5
TlCd4C2S | PBE | relaxed

Summary:
VASP energy (eV per atom): -2.707
ρ (g/cm³): 7.5
Space-group type: No. 187

Cell lengths 3.6984, 3.6984, 13.2447 Å; angles 90.00, 90.00, 120.00 degrees
Atoms (fractional coordinates):
C  0.6667  0.3333  0.7582
C  0.6667  0.3333  0.2418
Cd  0.3333  0.6667  0.1285
Cd  0.0000  0.0000  0.6938
Cd  0.0000  0.0000  0.3062
Cd  0.3333  0.6667  0.8715
Tl  0.3333  0.6667  0.5000
S  0.0000  0.0000  0.0000


Record 6
Tm4CdC2S | PBE | relaxed

Summary:
VASP energy (eV per atom): -5.990
ρ (g/cm³): 8.7
Space-group type: No. 187

Cell lengths 3.5958, 3.5958, 14.3193 Å; angles 90.00, 90.00, 120.00 degrees
Site moments in Bohr magnetons follow the coordinates.
Atoms (fractional coordinates):
Cd  0.0000  0.0000  0.5000  0.07
S  0.3333  0.6667  0.0000  0.00
Tm  0.0000  0.0000  0.8706  0.05
Tm  0.0000  0.0000  0.1294  0.04
Tm  0.3333  0.6667  0.6875  0.22
Tm  0.3333  0.6667  0.3125  0.22
C  0.6667  0.3333  0.2235  0.00
C  0.6667  0.3333  0.7766  0.00


Record 7
Y4CdC2S | PBE | relaxed

Summary:
VASP energy (eV per atom): -6.943
ρ (g/cm³): 5.2
Space-group type: No. 187

Cell lengths 3.6704, 3.6704, 14.4580 Å; angles 90.00, 90.00, 120.00 degrees
Site moments in Bohr magnetons follow the coordinates.
Atoms (fractional coordinates):
Y  0.0000  0.0000  0.1837  0.14
Y  0.6667  0.3333  0.6305  0.03
Y  0.0000  0.0000  0.8163  0.14
Y  0.6667  0.3333  0.3695  0.04
S  0.0000  0.0000  0.5000  0.00
C  0.3333  0.6667  0.2737  0.00
C  0.3333  0.6667  0.7263  0.00
Cd  0.6667  0.3333  0.0000  0.08


Record 8
Cd5SbC2 | PBE | relaxed

Summary:
VASP energy (eV per atom): -2.437
ρ (g/cm³): 7.5
Space-group type: No. 187

Cell lengths 3.5177, 3.5177, 14.7076 Å; angles 90.00, 90.00, 120.00 degrees
Atoms (fractional coordinates):
C  0.3333  0.6667  0.2401
C  0.3333  0.6667  0.7599
Cd  0.0000  0.0000  0.8408
Cd  0.6667  0.3333  0.3306
Cd  0.0000  0.0000  0.1592
Cd  0.6667  0.3333  0.0000
Cd  0.6667  0.3333  0.6694
Sb  0.0000  0.0000  0.5000